# RbP2RuRh, optimized geometry, DFT PBE-GGA
data_RbP2RuRh
_chemical_formula_sum 'Rb1 P2 Ru1 Rh1'
_space_group_name_H-M_alt 'P 1'
_space_group_IT_number 1
_cell_length_a 7.366
_cell_length_b 7.366
_cell_length_c 7.366
_cell_angle_alpha 148.57
_cell_angle_beta 148.57
_cell_angle_gamma 45.05
loop_
_space_group_symop_operation_xyz
'x,y,z'
loop_
_atom_site_label
_atom_site_type_symbol
_atom_site_fract_x
_atom_site_fract_y
_atom_site_fract_z
Rb1 Rb 0.000 0.000 0.000
P1 P 0.339 0.339 0.000
P2 P 0.661 0.661 0.000
Ru1 Ru 0.250 0.750 0.500
Rh1 Rh 0.750 0.250 0.500
# E_form = -731.1 meV per atom
# space group = I-4m2, No. 119
# total moment = 0.0 μB per cell